No. 1
## CaOs8 (PBE)

Data for an optimized crystal structure of CaOs8.

It has space group I4/mmm (No. 139), with a = 8.407 Å, b = 8.407 Å, c = 3.937 Å, α = 90.00°, β = 90.00° and γ = 90.00°. The inequivalent atoms are Ca at (0.000, 0.000, 0.000), Os at (0.000, 0.346, 0.000) and Os at (0.182, 0.182, 0.500).

Its formation energy is 0.334 eV/atom. Its crystal system is tetragonal. As for the volume: 15.5 A^3/atom.

---

No. 2
## TbEr3Pd2 (PBE)

Data for an optimized crystal structure of TbEr3Pd2.

It has space group Ibam (No. 72), with a = 6.899 Å, b = 13.626 Å, c = 7.040 Å, α = 90.00°, β = 90.00° and γ = 90.00°. The inequivalent atoms are Tb at (0.000, 0.000, 0.000), Er at (0.000, 0.235, 0.250), Er at (0.000, 0.500, 0.250) and Pd at (0.208, 0.359, 0.000).

Its formation energy is -0.514 eV/atom. Its crystal system is orthorhombic. As for the volume: 27.6 A^3/atom.

---

No. 3
## Rb2SnPb6 (PBE)

Data for an optimized crystal structure of Rb2SnPb6.

It has space group C2/m (No. 12), with a = 12.896 Å, b = 7.335 Å, c = 7.450 Å, α = 90.00°, β = 108.39° and γ = 90.00°. The inequivalent atoms are Rb at (0.151, 0.000, 0.346), Sn at (0.000, 0.500, 0.500), Pb at (0.119, 0.500, 0.164) and Pb at (0.137, 0.222, 0.833).

Its formation energy is -0.077 eV/atom. Its crystal system is monoclinic. As for the volume: 37.1 A^3/atom.

---

No. 4
## RbNdH6Pt2 (PBE)

Data for an optimized crystal structure of RbNdH6Pt2.

It has space group C2/c (No. 15), with a = 9.253 Å, b = 8.942 Å, c = 7.748 Å, α = 90.00°, β = 112.13° and γ = 90.00°. The inequivalent atoms are Rb at (0.000, 0.096, 0.250), Nd at (0.000, 0.435, 0.750), H at (0.022, 0.348, 0.047), H at (0.094, 0.187, 0.766), H at (0.235, 0.415, 0.336) and Pt at (0.219, 0.330, 0.138).

Its energy is -4.20 eV per atom. Its crystal system is monoclinic. As for the volume: 14.8 A^3/atom.